(1)
The following is a PBE-GGA calculation of NaTaFeGe after structural relaxation, from OQMD via LeMat-Bulk.

Values from the calculation:
SG = F-43m

abc: 4.5073 4.5073 4.5073
angles: 60.00 60.00 60.00
Element x y z (fractional)
Na 0.0000 0.0000 0.0000
Ta 0.5000 0.5000 0.5000
Fe 0.2500 0.2500 0.2500
Ge 0.7500 0.7500 0.7500



(2)
The following is a PBE-GGA calculation of PrZnInSe3 after structural relaxation, from OQMD via LeMat-Bulk.

Values from the calculation:
SG = C2/m

abc: 9.3191 9.3191 8.8478
angles: 116.75 116.75 26.30
Element x y z (fractional)
Pr 0.2052 0.2052 0.1959
Pr 0.7948 0.7948 0.8041
Zn 0.4988 0.4988 0.8077
Zn 0.5012 0.5012 0.1923
In 0.1272 0.1272 0.6137
In 0.8728 0.8728 0.3863
Se 0.0000 0.0000 0.0000
Se 0.3413 0.3413 0.6228
Se 0.3431 0.3431 0.0705
Se 0.5000 0.5000 0.5000
Se 0.6569 0.6569 0.9295
Se 0.6587 0.6587 0.3772



(3)
The following is a PBE-GGA calculation of SrTmGa after structural relaxation, from OQMD via LeMat-Bulk.

Values from the calculation:
SG = F-43m

abc: 5.1955 5.1955 5.1955
angles: 60.00 60.00 60.00
Element x y z (fractional)
Sr 0.0000 0.0000 0.0000
Tm 0.5000 0.5000 0.5000
Ga 0.2500 0.2500 0.2500



(4)
The following is a PBE-GGA calculation of Al2CoIr after structural relaxation, from OQMD via LeMat-Bulk.

Values from the calculation:
SG = P4/mmm

abc: 2.9464 2.9464 5.8413
angles: 90.00 90.00 90.00
Element x y z (fractional)
Al 0.0000 0.0000 0.2348
Al 0.0000 0.0000 0.7652
Co 0.5000 0.5000 0.0000
Ir 0.5000 0.5000 0.5000



(5)
The following is a PBE-GGA calculation of NaErZnO3 after structural relaxation, from OQMD via LeMat-Bulk.

Values from the calculation:
SG = Cmcm

abc: 5.6259 5.6259 8.9869
angles: 90.00 90.00 144.34
Element x y z (fractional)
Na 0.2067 0.7933 0.7500
Na 0.7933 0.2067 0.2500
Er 0.5000 0.5000 0.0000
Er 0.5000 0.5000 0.5000
Zn 0.0705 0.9295 0.2500
Zn 0.9295 0.0705 0.7500
O 0.1282 0.8718 0.0528
O 0.1282 0.8718 0.4472
O 0.4528 0.5472 0.2500
O 0.5472 0.4528 0.7500
O 0.8718 0.1282 0.5528
O 0.8718 0.1282 0.9472



(6)
The following is a PBE-GGA calculation of TlCo3Se5 after structural relaxation, from OQMD via LeMat-Bulk.

Values from the calculation:
SG = P6/mmm

abc: 5.5071 5.5071 7.0196
angles: 90.00 90.00 120.00
Element x y z (fractional)
Tl 0.0000 0.0000 0.0000
Co 0.0000 0.5000 0.5000
Co 0.5000 0.0000 0.5000
Co 0.5000 0.5000 0.5000
Se 0.0000 0.0000 0.5000
Se 0.3333 0.6667 0.2551
Se 0.3333 0.6667 0.7449
Se 0.6667 0.3333 0.2551
Se 0.6667 0.3333 0.7449



Asked for uncorrected energy across the records above, the calculation gives -6.141, -4.151, -3.154, -6.640, -5.831, -4.751 eV/atom in order.